Here is CuSb2Pb after structural relaxation from Alexandria. Energies are from GGA-PBE.

Cell lengths 7.056, 4.229, 7.553 Å; angles 90.00, 107.66, 90.00 degrees
Fractional coordinates of all 8 atoms:
Pb 0.953 0.250 0.677
Pb 0.047 0.750 0.323
Sb 0.725 0.250 0.054
Sb 0.275 0.750 0.946
Sb 0.471 0.250 0.355
Sb 0.529 0.750 0.645
Cu 0.120 0.250 0.081
Cu 0.880 0.750 0.919

Computed properties:
formation energy (no corrections): 0.088 eV per atom
energy: -3.924 eV per atom
total moment: 0.00 μB per cell